Entry 1:
A plane-wave DFT calculation with PBE was carried out for crystalline Pm2Sm2Tm2In at its relaxed geometry.

abc: 6.388 6.388 11.435
angles: 116.37 116.37 33.48
Fractional positions:
Pm: 0.018 0.018 0.243
Pm: 0.982 0.982 0.757
Sm: 0.185 0.185 0.592
Sm: 0.815 0.815 0.408
Tm: 0.238 0.238 0.118
Tm: 0.762 0.762 0.882
In: 0.500 0.500 0.000

ΔE_f	-29	meV per atom
uncorrected energy	-4.4032	eV per atom
DOS(E_F)	1.362	states/eV/atom
SG	C2/m (12)
ρ	7.6	g/cm³

***

Entry 2:
A plane-wave DFT calculation with PBE was carried out for crystalline Sr3Ga2Bi3 at its relaxed geometry.

abc: 6.730 6.730 17.102
angles: 90.00 90.00 137.85
Fractional positions:
Sr: 0.051 0.949 0.612
Sr: 0.051 0.949 0.888
Sr: 0.320 0.680 0.750
Sr: 0.680 0.320 0.250
Sr: 0.949 0.051 0.112
Sr: 0.949 0.051 0.388
Ga: 0.225 0.775 0.114
Ga: 0.225 0.775 0.386
Ga: 0.775 0.225 0.614
Ga: 0.775 0.225 0.886
Bi: 0.370 0.630 0.529
Bi: 0.370 0.630 0.971
Bi: 0.404 0.596 0.250
Bi: 0.596 0.404 0.750
Bi: 0.630 0.370 0.029
Bi: 0.630 0.370 0.471

ΔE_f	-552	meV per atom
uncorrected energy	-3.3945	eV per atom
DOS(E_F)	0.329	states/eV/atom
SG	Cmcm (63)
ρ	6.6	g/cm³

***

Entry 3:
A plane-wave DFT calculation with PBE was carried out for crystalline Na3CdAg3Br8 at its relaxed geometry.

abc: 8.391 8.391 8.367
angles: 119.80 119.80 59.51
Fractional positions:
Na: 0.000 0.000 0.000
Na: 0.000 0.500 0.500
Na: 0.500 0.000 0.500
Cd: 0.000 0.000 0.500
Ag: 0.000 0.500 0.000
Ag: 0.500 0.000 0.000
Ag: 0.500 0.500 0.500
Br: 0.238 0.238 0.745
Br: 0.242 0.756 0.264
Br: 0.244 0.758 0.736
Br: 0.251 0.251 0.242
Br: 0.749 0.749 0.758
Br: 0.756 0.242 0.264
Br: 0.758 0.244 0.736
Br: 0.762 0.762 0.255

uncorrected energy	-2.7002	eV per atom
DOS(E_F)	0.000	states/eV/atom
SG	C2/m (12)
ρ	4.6	g/cm³
formation energy without anion corrections	-913	meV per atom